Er3Ge3Rh after structural relaxation, computed with PBE-GGA.

CIF file:
```
data_Er3Ge3Rh
_symmetry_space_group_name_H-M 'P 63/m'
_symmetry_Int_Tables_number 176
_symmetry_space_group_name_Hall '-P 6c'
_cell_length_a 8.3385
_cell_length_b 8.3385
_cell_length_c 5.6465
_cell_angle_alpha 90.00
_cell_angle_beta 90.00
_cell_angle_gamma 120.00
loop_
_atom_site_label
_atom_site_type_symbol
_atom_site_fract_x
_atom_site_fract_y
_atom_site_fract_z
_atom_site_occupancy
Er1 Er 0.0866 0.4031 0.2500 1
Ge1 Ge 0.0754 0.3496 0.7500 1
Rh1 Rh 0.3333 0.6667 0.7500 1
```

Computed properties:
The formation energy comes out at -0.510 eV/atom. The value obtained for the total DFT energy (no corrections) is -5.4950 eV/atom.